Below is crystalline Th4PdPt3 at its relaxed geometry, with properties calculated at the GGA-PBE level.

abc: 5.9407 5.9407 5.9407
angles: 90.00 90.00 90.00
Fractional coordinates of all 8 atoms:
Pd: 0.0000 0.0000 0.0000
Th: 0.5000 0.0000 0.0000
Pt: 0.0000 0.5000 0.5000
Th: 0.0000 0.0000 0.5000
Th: 0.0000 0.5000 0.0000
Th: 0.5000 0.5000 0.5000
Pt: 0.5000 0.5000 0.0000
Pt: 0.5000 0.0000 0.5000

Output
DOS(E_F) (states/eV/f.u.): 5.7
VASP energy (eV/atom): -7.68
Crystal system: cubic
Space-group type: Pm-3m, No. 221

Below is crystalline Th3PdPt2 at its relaxed geometry, with properties calculated at the GGA-PBE level.

abc: 5.9558 7.0964 8.7051
angles: 107.86 90.00 114.81
Fractional coordinates of all 12 atoms:
Pt: 0.3341 0.6684 0.9171
Th: 0.5000 0.0000 0.2500
Th: 0.1693 0.3385 0.0847
Pd: 0.0000 0.0000 0.7500
Th: 0.8307 0.6615 0.9153
Pt: 0.3342 0.6684 0.4171
Th: 0.8308 0.6615 0.4153
Pt: 0.6658 0.3316 0.5829
Pd: 0.0000 0.0000 0.2500
Pt: 0.6659 0.3316 0.0829
Th: 0.1692 0.3385 0.5847
Th: 0.5000 0.0000 0.7500

Output
DOS(E_F) (states/eV/f.u.): 4.2
VASP energy (eV/atom): -7.60
Crystal system: orthorhombic
Space-group type: Immm, No. 71